{"formula": "CaIF3", "functional": "PBE-GGA", "state": "optimized geometry", "lattice_angstrom": [[-0.706, 3.287, 3.554], [-4.686, 0.440, -1.338], [-1.218, -3.597, 3.085]], "species": ["I", "Ca", "F", "F", "F"], "frac_coords": [[0.000, 0.000, 0.000], [0.500, 0.500, 0.500], [0.000, 0.500, 0.000], [0.000, 0.000, 0.500], [0.500, 0.000, 0.000]], "spacegroup": "Pm-3m, No. 221", "m_tot_mub_per_atom": 0.000, "de_polymorph_mev_per_atom": 972.3, "dft_energy_ev_per_atom": -3.150, "formation_energy_uncorrected_ev_per_atom": -1.32}

{"formula": "ZnMoBr2", "functional": "PBE-GGA", "state": "optimized geometry", "lattice_angstrom": [[1.920, 0.000, 10.811], [-0.960, 1.663, 10.811], [-0.960, -1.663, 10.811]], "species": ["Mo", "Zn", "Br", "Br"], "frac_coords": [[0.500, 0.500, 0.500], [0.000, 0.000, 0.000], [0.889, 0.889, 0.889], [0.111, 0.111, 0.111]], "spacegroup": "R-3m, No. 166", "m_tot_mub_per_atom": 0.000, "de_polymorph_mev_per_atom": 174.8, "dft_energy_ev_per_atom": -3.710, "formation_energy_uncorrected_ev_per_atom": 0.15}